1.
A PBEsol-optimized structure of P2HRuCl, computed with SCAN.

- DOS at the Fermi energy (states/eV per cell) = 2.85
- E_tot (eV per atom) = -12.66
- spin magnetization (μB per formula unit) = 0.42
- calculated volume (Å³/f.u.) = 100.2

Cell: 4.421 4.421 5.123 Å, 90.00 90.00 90.00°
Space group P4/mmm (No. 123)
Symmetry-distinct sites (fractional):
P  0.000  0.500  0.000 (multiplicity 2)
H  0.000  0.000  0.500 (multiplicity 1)
Ru  0.500  0.500  0.000 (multiplicity 1)
Cl  0.500  0.500  0.500 (multiplicity 1)



2.
A PBEsol-optimized structure of ScP2HCl, computed with SCAN.

- DOS at the Fermi energy (states/eV per cell) = 0.70
- E_tot (eV per atom) = -9.58
- spin magnetization (μB per formula unit) = 0.00
- calculated volume (Å³/f.u.) = 68.4

Cell: 3.660 3.660 5.105 Å, 90.00 90.00 90.00°
Space group P4/mmm (No. 123)
Symmetry-distinct sites (fractional):
Sc  0.000  0.000  0.000 (multiplicity 1)
P  0.000  0.500  0.500 (multiplicity 2)
H  0.500  0.500  0.500 (multiplicity 1)
Cl  0.500  0.500  0.000 (multiplicity 1)



3.
A PBEsol-optimized structure of SnPHCl2, computed with SCAN.

- DOS at the Fermi energy (states/eV per cell) = 2.22
- E_tot (eV per atom) = -12.89
- spin magnetization (μB per formula unit) = 1.47
- calculated volume (Å³/f.u.) = 86.6

Cell: 5.075 5.075 3.363 Å, 90.00 90.00 90.00°
Space group P4/mmm (No. 123)
Symmetry-distinct sites (fractional):
Sn  0.000  0.000  0.000 (multiplicity 1)
P  0.500  0.500  0.000 (multiplicity 1)
H  0.500  0.500  0.500 (multiplicity 1)
Cl  0.000  0.500  0.500 (multiplicity 2)



4.
A PBEsol-optimized structure of TiPHCl2, computed with SCAN.

- DOS at the Fermi energy (states/eV per cell) = 1.06
- E_tot (eV per atom) = -9.37
- spin magnetization (μB per formula unit) = 0.00
- calculated volume (Å³/f.u.) = 106.1

Cell: 4.690 4.690 4.825 Å, 90.00 90.00 90.00°
Space group P4/mmm (No. 123)
Symmetry-distinct sites (fractional):
Ti  0.000  0.000  0.000 (multiplicity 1)
P  0.000  0.000  0.500 (multiplicity 1)
H  0.500  0.500  0.500 (multiplicity 1)
Cl  0.000  0.500  0.000 (multiplicity 2)



5.
A PBEsol-optimized structure of HPbCl2, computed with SCAN.

- DOS at the Fermi energy (states/eV per cell) = 2.39
- E_tot (eV per atom) = -24.31
- spin magnetization (μB per formula unit) = 0.00
- calculated volume (Å³/f.u.) = 85.8

Cell: 3.5859 3.5859 23.1250 Å, 90.00 90.00 120.00°
Space group R-3m (No. 166, hexagonal axes)
Symmetry-distinct sites (fractional):
H  0.0000  0.0000  0.0000 (multiplicity 3)
Pb  0.0000  0.0000  0.5000 (multiplicity 3)
Cl  0.0000  0.0000  0.0672 (multiplicity 6)



6.
A PBEsol-optimized structure of HPbCl2, computed with SCAN.

- DOS at the Fermi energy (states/eV per cell) = 0.00
- E_tot (eV per atom) = -24.17
- spin magnetization (μB per formula unit) = 1.00
- calculated volume (Å³/f.u.) = 82.3

Cell: 6.904 6.904 6.904 Å, 90.00 90.00 90.00°
Space group Fm-3m (No. 225)
Symmetry-distinct sites (fractional):
H  0.000  0.000  0.000 (multiplicity 4)
Pb  0.000  0.000  0.500 (multiplicity 4)
Cl  0.250  0.250  0.250 (multiplicity 8)



Q: What is the calculated volume in the fourth record?
A: 106.1 Å³/f.u.